(1)
CdNiI2N PBE optimized geometry; electronic total energy = -12.18 eV for the cell shown; SG = P4/mmm, No. 123; formation energy (no corrections) = 27.401 kcal/mol of atoms
1.0
5.982 0.000 0.000
0.000 5.982 0.000
0.000 0.000 4.229
Ni I Cd N
1 2 1 1
Direct
0.500 0.500 0.500
0.000 0.500 0.000
0.500 0.000 0.000
0.000 0.000 0.000
0.000 0.000 0.500

(2)
CdIN2O PBE optimized geometry; electronic total energy = -17.71 eV for the cell shown; SG = P4/mmm, No. 123; formation energy (no corrections) = 29.374 kcal/mol of atoms
1.0
4.110 0.000 0.000
0.000 4.110 0.000
0.000 0.000 4.039
N O I Cd
2 1 1 1
Direct
0.000 0.500 0.000
0.500 0.000 0.000
0.000 0.000 0.500
0.000 0.000 0.000
0.500 0.500 0.500

(3)
CdI2NO PBE optimized geometry; electronic total energy = -11.01 eV for the cell shown; SG = P4/mmm, No. 123; formation energy (no corrections) = 28.985 kcal/mol of atoms
1.0
-1.482 -5.427 -2.058
4.970 -0.089 -3.343
2.156 -1.823 3.254
N Cd I O
1 1 2 1
Direct
0.000 0.000 0.500
0.000 0.000 0.000
0.500 0.000 0.000
0.000 0.500 0.000
0.500 0.500 0.500

(4)
CdIN2O PBE optimized geometry; electronic total energy = -13.88 eV for the cell shown; SG = P4/mmm, No. 123; formation energy (no corrections) = 47.001 kcal/mol of atoms
1.0
4.358 0.000 0.000
0.000 4.358 0.000
0.000 0.000 4.324
O I Cd N
1 1 1 2
Direct
0.000 0.000 0.000
0.000 0.000 0.500
0.500 0.500 0.500
0.500 0.000 0.000
0.000 0.500 0.000

(5)
CdI2NO PBE optimized geometry; electronic total energy = -11.44 eV for the cell shown; SG = P4/mmm, No. 123; formation energy (no corrections) = 27.007 kcal/mol of atoms
1.0
-4.359 0.753 2.809
0.364 -4.880 1.873
2.229 1.355 3.096
N I Cd O
1 2 1 1
Direct
0.000 0.000 0.500
0.000 0.500 0.000
0.500 0.000 0.000
0.500 0.500 0.500
0.000 0.000 0.000

(6)
CdINO2 PBE optimized geometry; electronic total energy = -15.17 eV for the cell shown; SG = P4/mmm, No. 123; formation energy (no corrections) = 25.542 kcal/mol of atoms
1.0
4.142 0.000 0.000
0.000 4.142 0.000
0.000 0.000 4.217
Cd I O N
1 1 2 1
Direct
0.500 0.500 0.500
0.000 0.000 0.500
0.500 0.000 0.000
0.000 0.500 0.000
0.000 0.000 0.000

Among the records above, which one has the highest formation energy (no corrections)? number 4

What did the fifth record say?
CdI2NO PBE optimized geometry; electronic total energy = -11.44 eV for the cell shown; SG = P4/mmm, No. 123; formation energy (no corrections) = 27.007 kcal/mol of atoms
1.0
-4.359 0.753 2.809
0.364 -4.880 1.873
2.229 1.355 3.096
N I Cd O
1 2 1 1
Direct
0.000 0.000 0.500
0.000 0.500 0.000
0.500 0.000 0.000
0.500 0.500 0.500
0.000 0.000 0.000

Among the records above, which one has the lowest electronic total energy? number 2

What is the electronic total energy in the sixth record? -15.17 eV for the cell shown